1.
CaSnAs2Au after structural relaxation, computed with GGA-PBE.

Properties
Magnetization, μB per formula unit: 0.0
Formation energy from the elements, eV per atom: 0.155
Raw total energy, eV for the cell shown: -17.8

Cell lengths 5.1083, 5.3904, 5.1083 Å; angles 90.00, 90.00, 90.00 degrees
Fractional coordinates of all 5 atoms:
As  0.0000  0.0000  0.5000
As  0.5000  0.0000  0.0000
Ca  0.0000  0.5000  0.0000
Au  0.0000  0.0000  0.0000
Sn  0.5000  0.5000  0.5000

***

2.
Ca2ZnAsAu after structural relaxation, computed with GGA-PBE.

Properties
Magnetization, μB per formula unit: 0.0
Formation energy from the elements, eV per atom: -0.145
Raw total energy, eV for the cell shown: -13.9

Cell lengths 5.5383, 4.6460, 5.5383 Å; angles 90.00, 90.00, 90.00 degrees
Fractional coordinates of all 5 atoms:
As  0.5000  0.5000  0.5000
Ca  0.0000  0.0000  0.5000
Ca  0.5000  0.0000  0.0000
Au  0.0000  0.5000  0.0000
Zn  0.0000  0.0000  0.0000

***

3.
Cd3AsAu after structural relaxation, computed with GGA-PBE.

Properties
Energy above the most stable polymorph in this dataset, eV per formula unit: 2.125
Magnetization, μB per formula unit: 0.0
Formation energy from the elements, eV per atom: 0.380
Raw total energy, eV for the cell shown: -8.8

Cell lengths 5.2229, 5.2229, 5.2229 Å; angles 90.00, 90.00, 90.00 degrees
Fractional coordinates of all 5 atoms:
As  0.5000  0.5000  0.5000
Au  0.0000  0.0000  0.0000
Cd  0.0000  0.5000  0.0000
Cd  0.0000  0.0000  0.5000
Cd  0.5000  0.0000  0.0000

***

4.
Cd3AsAu after structural relaxation, computed with GGA-PBE.

Properties
Energy above the most stable polymorph in this dataset, eV per formula unit: 0.000
Magnetization, μB per formula unit: 0.0
Formation energy from the elements, eV per atom: -0.045
Raw total energy, eV for the cell shown: -43.6

Cell lengths 6.7387, 9.1188, 8.1855 Å; angles 111.43, 90.00, 90.00 degrees
Fractional coordinates of all 20 atoms:
Cd  0.0521  0.6141  0.8394
Cd  0.9479  0.3859  0.1606
Cd  0.5521  0.8859  0.1606
Cd  0.4479  0.1141  0.8394
Cd  0.6097  0.4052  0.7387
Cd  0.3903  0.5948  0.2613
Cd  0.1097  0.0948  0.2613
Cd  0.8903  0.9052  0.7387
Cd  0.0466  0.2201  0.6452
Cd  0.9534  0.7799  0.3548
Cd  0.5466  0.2799  0.3548
Cd  0.4534  0.7201  0.6452
As  0.2570  0.3968  0.9328
As  0.7430  0.6032  0.0672
As  0.7570  0.1032  0.0672
As  0.2430  0.8968  0.9328
Au  0.8099  0.5694  0.5345
Au  0.1901  0.4306  0.4655
Au  0.3099  0.9306  0.4655
Au  0.6901  0.0694  0.5345